[1]
PBE-GGA YHPt, relaxed; relative energy among the computed polymorphs = 25.0 kJ/mol of atoms
1.0
-0.395 -3.325 1.311
2.371 -1.399 -2.834
1.526 1.178 3.449
Y H Pt
1 1 1
Cartesian
1.544 -1.901 2.230 Y
2.024 -1.087 -0.524 H
-0.066 -0.557 0.220 Pt


[2]
PBE-GGA Y2H2Pt, relaxed; relative energy among the computed polymorphs = 0.0 kJ/mol of atoms
1.0
3.529 0.000 0.000
0.000 3.529 0.000
1.764 1.764 6.225
Y Pt H
2 1 2
Cartesian
1.764 1.764 1.733 Y
3.529 3.529 4.492 Y
0.000 0.000 0.000 Pt
3.529 1.764 3.112 H
1.764 3.529 3.112 H


[3]
PBE-GGA Y4HPt2, relaxed; E = -6.687 eV per atom
1.0
4.640 0.000 0.000
0.000 4.640 0.000
2.320 2.320 7.251
Pt Y H
2 4 1
Cartesian
2.320 2.320 1.819 Pt
4.640 4.640 5.432 Pt
0.000 2.320 0.000 Y
2.320 2.320 4.543 Y
2.320 0.000 0.000 Y
4.640 4.640 2.708 Y
0.000 0.000 0.000 H